# 1
# Pr4Y5Tm, optimized geometry, DFT PBE-GGA
data_Pr4Y5Tm
_cell_length_a 17.382
_cell_length_b 3.563
_cell_length_c 11.288
_cell_angle_alpha 90.00
_cell_angle_beta 90.28
_cell_angle_gamma 90.00
_symmetry_space_group_name_H-M 'C 1 2/m 1'
_symmetry_Int_Tables_number 12
loop_
_symmetry_equiv_pos_as_xyz
'x,y,z'
'-x,-y,-z'
'-x,y,-z'
'x,-y,z'
'x+1/2,y+1/2,z'
'-x+1/2,-y+1/2,-z'
'-x+1/2,y+1/2,-z'
'x+1/2,-y+1/2,z'
loop_
_atom_site_label
_atom_site_fract_x
_atom_site_fract_y
_atom_site_fract_z
Pr1 0.030 0.000 0.248
Pr2 0.156 0.500 0.750
Y1 0.000 0.500 0.500
Y2 0.173 0.000 0.053
Y3 0.174 0.000 0.444
Tm1 0.000 0.500 0.000
# polymorph energy (0 for the lowest one) = 94.0 meV per atom
# total energy = -5.404 eV/atom
# formation energy from the elements = 187.0 meV per atom



# 2
# PrY7Tm3, optimized geometry, DFT PBE-GGA
data_PrY7Tm3
_cell_length_a 6.914
_cell_length_b 5.563
_cell_length_c 9.934
_cell_angle_alpha 90.00
_cell_angle_beta 108.91
_cell_angle_gamma 90.00
_symmetry_space_group_name_H-M 'P 1 2/m 1'
_symmetry_Int_Tables_number 10
loop_
_symmetry_equiv_pos_as_xyz
'x,y,z'
'-x,-y,-z'
'-x,y,-z'
'x,-y,z'
loop_
_atom_site_label
_atom_site_fract_x
_atom_site_fract_y
_atom_site_fract_z
Pr1 0.000 0.000 0.000
Y1 0.000 0.000 0.500
Y2 0.148 0.500 0.788
Y3 0.325 0.500 0.141
Y4 0.429 0.000 0.332
Tm1 0.275 0.500 0.495
Tm2 0.500 0.000 0.000
# polymorph energy (0 for the lowest one) = 0.0 meV per atom
# total energy = -5.624 eV/atom
# formation energy from the elements = 143.6 meV per atom



# 3
# PrY4Tm6, optimized geometry, DFT PBE-GGA
data_PrY4Tm6
_cell_length_a 7.672
_cell_length_b 7.672
_cell_length_c 12.946
_cell_angle_alpha 90.00
_cell_angle_beta 90.00
_cell_angle_gamma 90.00
_symmetry_space_group_name_H-M 'I -4 2 m'
_symmetry_Int_Tables_number 121
_symmetry_space_group_name_Hall 'I -4 2'
loop_
_atom_site_label
_atom_site_fract_x
_atom_site_fract_y
_atom_site_fract_z
Pr1 0.000 0.000 0.000
Y1 0.168 0.168 0.423
Tm1 0.000 0.500 0.000
Tm2 0.248 0.248 0.182
# polymorph energy (0 for the lowest one) = 166.2 meV per atom
# total energy = -4.740 eV/atom
# formation energy from the elements = 484.2 meV per atom



# 4
# Pr8Y6Tm, optimized geometry, DFT PBE-GGA
data_Pr8Y6Tm
_cell_length_a 9.2158
_cell_length_b 9.2158
_cell_length_c 21.1371
_cell_angle_alpha 90.00
_cell_angle_beta 90.00
_cell_angle_gamma 120.00
_symmetry_space_group_name_H-M 'R -3'
_symmetry_Int_Tables_number 148
_symmetry_space_group_name_Hall '-R 3'
loop_
_atom_site_label
_atom_site_fract_x
_atom_site_fract_y
_atom_site_fract_z
Pr1 0.0000 0.0000 0.0779
Pr2 0.0808 0.5598 0.3061
Y1 0.0457 0.2454 0.2054
Tm1 0.0000 0.0000 0.5000
# total energy = -5.321 eV/atom
# formation energy from the elements = 112.0 meV per atom



# 5
# Pr3Y8Tm3, optimized geometry, DFT PBE-GGA
data_Pr3Y8Tm3
_cell_length_a 5.677
_cell_length_b 10.720
_cell_length_c 15.256
_cell_angle_alpha 90.00
_cell_angle_beta 90.00
_cell_angle_gamma 90.00
_symmetry_space_group_name_H-M 'I m m m'
_symmetry_Int_Tables_number 71
_symmetry_space_group_name_Hall '-I 2 2'
loop_
_atom_site_label
_atom_site_fract_x
_atom_site_fract_y
_atom_site_fract_z
Pr1 0.000 0.000 0.000
Pr2 0.000 0.311 0.000
Y1 0.000 0.159 0.222
Y2 0.000 0.339 0.397
Tm1 0.000 0.000 0.500
Tm2 0.000 0.500 0.188
# polymorph energy (0 for the lowest one) = 26.8 meV per atom
# total energy = -5.537 eV/atom
# formation energy from the elements = 139.2 meV per atom



# 6
# Pr5Y12Tm, optimized geometry, DFT PBE-GGA
data_Pr5Y12Tm
_cell_length_a 15.292
_cell_length_b 15.315
_cell_length_c 5.104
_cell_angle_alpha 90.00
_cell_angle_beta 90.00
_cell_angle_gamma 90.00
_symmetry_space_group_name_H-M 'C m m m'
_symmetry_Int_Tables_number 65
_symmetry_space_group_name_Hall '-C 2 2'
loop_
_atom_site_label
_atom_site_fract_x
_atom_site_fract_y
_atom_site_fract_z
Pr1 0.000 0.000 0.000
Pr2 0.000 0.167 0.500
Pr3 0.000 0.335 0.000
Y1 0.167 0.335 0.500
Y2 0.167 0.500 0.000
Y3 0.168 0.000 0.500
Y4 0.168 0.167 0.000
Tm1 0.000 0.500 0.500
# total energy = -5.863 eV/atom
# formation energy from the elements = 22.8 meV per atom



no.,ρ (g cm⁻³)
1,5.6
2,5.8
3,6.6
4,5.9
5,5.9
6,5.4